# Ti4Nb2Rh

A geometry-optimized Ti4Nb2Rh structure (PBE-GGA, Alexandria via LeMat-Bulk).

Geometry as extended XYZ:
```
7
Lattice="-2.3257 2.3257 6.4676 2.3257 -2.3257 6.4676 2.3257 2.3257 -6.4676" Properties=species:S:1:pos:R:3 pbc="T T T"
Ti 2.3257 0.0000 0.0000
Ti 0.0000 0.0000 2.5213
Ti 0.0000 2.3257 0.0000
Ti 0.0000 0.0000 10.4140
Nb 0.0000 0.0000 4.9126
Nb 0.0000 0.0000 8.0227
Rh 0.0000 0.0000 0.0000
```

Computed properties:
* size of the total moment: 0.47 μB per cell
* ΔH_f (0 K): 0.6582 eV/atom

***

# KPmCuO3

A geometry-optimized KPmCuO3 structure (PBE-GGA, Alexandria via LeMat-Bulk).

Geometry as extended XYZ:
```
12
Lattice="6.4926 -1.9630 0.0000 6.4926 1.9630 0.0000 -1.9164 0.0000 7.1569" Properties=species:S:1:pos:R:3 pbc="T T T"
K 1.7293 0.0000 0.4535
K 9.3396 0.0000 6.7034
Pm 0.8323 0.0000 4.1341
Pm 10.2366 0.0000 3.0228
Cu 5.0331 0.0000 5.0852
Cu 6.0357 0.0000 2.0717
O -0.4824 0.0000 2.1364
O 3.1487 0.0000 4.5231
O 4.1496 0.0000 1.6412
O 6.9192 0.0000 5.5157
O 7.9201 0.0000 2.6338
O 11.5512 0.0000 5.0205
```

Computed properties:
* size of the total moment: 0.00 μB per cell
* uncorrected formation energy: -2.003 eV/atom

***

# EuLuZn2

A geometry-optimized EuLuZn2 structure (PBE-GGA, Alexandria via LeMat-Bulk).

Geometry as extended XYZ:
```
4
Lattice="0.0000 3.6067 3.6067 3.6067 0.0000 3.6067 3.6067 3.6067 0.0000" Properties=species:S:1:pos:R:3 pbc="T T T"
Eu 0.0000 0.0000 0.0000
Lu 3.6067 3.6067 3.6067
Zn 1.8034 1.8034 1.8034
Zn 5.4101 5.4101 5.4101
```

Computed properties:
* size of the total moment: 7.04 μB per cell
* ΔH_f (0 K): -0.2618 eV/atom

***

# VAg3As

A geometry-optimized VAg3As structure (PBE-GGA, Alexandria via LeMat-Bulk).

Geometry as extended XYZ:
```
5
Lattice="4.9527 0.0000 0.0000 0.0000 4.9527 0.0000 0.0000 0.0000 4.9527" Properties=species:S:1:pos:R:3 pbc="T T T"
V 0.0000 0.0000 0.0000
Ag 0.0000 0.0000 2.4764
Ag 0.0000 2.4764 0.0000
Ag 2.4764 0.0000 0.0000
As 2.4764 2.4764 2.4764
```

Computed properties:
* size of the total moment: 3.32 μB per cell
* ΔH_f (0 K): 1.3037 eV/atom

***

# Pm3Dy2Ho6Th

A geometry-optimized Pm3Dy2Ho6Th structure (PBE-GGA, Alexandria via LeMat-Bulk).

Geometry as extended XYZ:
```
12
Lattice="3.0908 -5.3512 0.0000 3.0908 5.3512 0.0000 -2.0635 0.0000 11.5945" Properties=species:S:1:pos:R:3 pbc="T T T"
Pm 0.0000 0.0000 0.0000
Pm 3.0908 1.7892 0.0000
Pm 3.0908 -1.7892 0.0000
Dy 2.0590 3.5669 5.7973
Dy 2.0590 -3.5669 5.7973
Ho 1.0371 1.7658 2.9329
Ho 0.0220 0.0000 8.6616
Ho 1.0371 -1.7658 2.9329
Ho 3.0809 1.7658 8.6616
Ho 4.0960 0.0000 2.9330
Ho 3.0809 -1.7658 8.6616
Th 2.0590 0.0000 5.7973
```

Computed properties:
* size of the total moment: 0.00 μB per cell
* ΔH_f (0 K): 0.0201 eV/atom

***

# LaHCl2

A geometry-optimized LaHCl2 structure (PBE-GGA, Alexandria via LeMat-Bulk).

Geometry as extended XYZ:
```
8
Lattice="-5.2091 5.2091 2.2615 5.2091 -5.2091 2.2615 5.2091 5.2091 -2.2615" Properties=species:S:1:pos:R:3 pbc="T T T"
La 0.0000 0.0000 0.0000
La 0.0000 5.2091 1.1308
H 5.2091 0.0000 1.1308
H 0.0000 0.0000 2.2615
Cl 0.8787 2.6046 0.5654
Cl -2.6046 4.3304 1.6961
Cl -0.8787 7.8137 0.5654
Cl 2.6046 6.0878 1.6961
```

Computed properties:
* size of the total moment: 0.00 μB per cell
* uncorrected energy: -4.63 eV/atom

***

# PmTmPt

A geometry-optimized PmTmPt structure (PBE-GGA, Alexandria via LeMat-Bulk).

Geometry as extended XYZ:
```
6
Lattice="2.3230 1.3412 9.0074 -2.3230 1.3412 9.0074 0.0000 -2.6824 9.0074" Properties=species:S:1:pos:R:3 pbc="T T T"
Pm 0.0000 0.0000 3.2926
Pm 0.0000 0.0000 23.7296
Tm 0.0000 0.0000 10.0317
Tm 0.0000 0.0000 16.9904
Pt 0.0000 0.0000 6.9992
Pt 0.0000 0.0000 20.0230
```

Computed properties:
* size of the total moment: 0.00 μB per cell
* ΔH_f (0 K): -0.8299 eV/atom

***

# PuInCl6

A geometry-optimized PuInCl6 structure (PBE-GGA, Alexandria via LeMat-Bulk).

Geometry as extended XYZ:
```
8
Lattice="3.3092 -6.1304 0.0000 3.3092 6.1304 0.0000 -1.8427 0.0000 6.3285" Properties=species:S:1:pos:R:3 pbc="T T T"
Pu 0.0000 0.0000 0.0000
In 2.3879 0.0000 3.1642
Cl 1.2902 1.7588 1.6683
Cl 0.3009 0.0000 4.6928
Cl 1.2902 -1.7588 1.6683
Cl 3.4856 1.7588 4.6602
Cl 4.4749 0.0000 1.6357
Cl 3.4856 -1.7588 4.6602
```

Computed properties:
* size of the total moment: 5.00 μB per cell
* uncorrected formation energy: -1.449 eV/atom

***

# KCa2ScRh

A geometry-optimized KCa2ScRh structure (PBE-GGA, Alexandria via LeMat-Bulk).

Geometry as extended XYZ:
```
5
Lattice="5.8019 0.0000 0.0000 0.0000 5.8019 0.0000 0.0000 0.0000 5.0457" Properties=species:S:1:pos:R:3 pbc="T T T"
K 0.0000 0.0000 0.0000
Ca 0.0000 2.9009 2.5229
Ca 2.9009 0.0000 2.5229
Sc 2.9009 2.9009 0.0000
Rh 2.9009 2.9009 2.5229
```

Computed properties:
* size of the total moment: 0.00 μB per cell
* ΔH_f (0 K): -0.1328 eV/atom